Entry 1:
Entry from Alexandria via LeMat-Bulk: a geometry-optimized HoCdPdPb structure (PBE).

Computed properties:
E: -3.993 eV per atom

abc: 7.120 7.120 7.120
angles: 90.00 90.00 90.00
Space group F-43m (No. 216)
Symmetry-distinct sites (fractional):
1 Ho 0.000 0.000 0.000 x4
2 Cd 0.250 0.250 0.250 x4
3 Pd 0.250 0.250 0.750 x4
4 Pb 0.000 0.000 0.500 x4

=====

Entry 2:
Entry from Alexandria via LeMat-Bulk: a geometry-optimized YAlGaNi3 structure (PBE).

Computed properties:
E: -5.426 eV per atom

abc: 6.064 11.869 5.333
angles: 90.00 90.00 90.00
Space group Cmcm (No. 63)
Symmetry-distinct sites (fractional):
1 Y 0.000 0.206 0.250 x4
2 Al 0.000 0.451 0.250 x4
3 Ga 0.000 0.141 0.750 x4
4 Ni 0.000 0.347 0.750 x4
5 Ni 0.197 0.000 0.000 x8

=====

Entry 3:
Entry from Alexandria via LeMat-Bulk: a geometry-optimized Zr2Ge2I structure (PBE).

Computed properties:
E: -6.000 eV per atom
formation energy without anion corrections: -0.4238 eV/atom

abc: 7.835 7.835 3.568
angles: 90.00 90.00 90.00
Space group P4/mbm (No. 127)
Symmetry-distinct sites (fractional):
1 Zr 0.165 0.335 0.000 x4
2 Ge 0.122 0.622 0.500 x4
3 I 0.000 0.000 0.000 x2

=====

Entry 4:
Entry from Alexandria via LeMat-Bulk: a geometry-optimized Y2Be3Cu12Ni structure (PBE).

Computed properties:
E: -4.045 eV per atom

abc: 7.6125 7.6125 16.7295
angles: 90.00 90.00 120.00
Space group R-3m (No. 166, hexagonal axes)
Symmetry-distinct sites (fractional):
1 Y 0.0000 0.0000 0.1067 x6
2 Be 0.0000 0.5000 0.0000 x9
3 Cu 0.0004 0.5002 0.1237 x18
4 Cu 0.0412 0.5206 0.3567 x18
5 Ni 0.0000 0.0000 0.5000 x3

=====

Entry 5:
Entry from Alexandria via LeMat-Bulk: a geometry-optimized TiGaCuSi2 structure (PBE).

Computed properties:
E: -4.140 eV per atom
formation energy without anion corrections: 1.0325 eV/atom

abc: 4.584 4.584 4.769
angles: 90.00 90.00 90.00
Space group P4/mmm (No. 123)
Symmetry-distinct sites (fractional):
1 Ti 0.000 0.000 0.000 x1
2 Ga 0.000 0.000 0.500 x1
3 Cu 0.500 0.500 0.000 x1
4 Si 0.000 0.500 0.500 x2

=====

Entry 6:
Entry from Alexandria via LeMat-Bulk: a geometry-optimized La4Pa structure (PBE).

Computed properties:
E: -5.255 eV per atom

abc: 5.858 5.858 5.858
angles: 90.00 90.00 90.00
Space group Pm-3m (No. 221)
Symmetry-distinct sites (fractional):
1 La 0.000 0.000 0.000 x1
2 La 0.000 0.500 0.500 x3
3 Pa 0.500 0.500 0.500 x1

=====

Entry 7:
Entry from Alexandria via LeMat-Bulk: a geometry-optimized BaNaLiZn structure (PBE).

Computed properties:
E: -1.580 eV per atom

abc: 8.025 8.025 8.025
angles: 90.00 90.00 90.00
Space group F-43m (No. 216)
Symmetry-distinct sites (fractional):
1 Ba 0.000 0.000 0.000 x4
2 Na 0.000 0.000 0.500 x4
3 Li 0.250 0.250 0.750 x4
4 Zn 0.250 0.250 0.250 x4

=====

Entry 8:
Entry from Alexandria via LeMat-Bulk: a geometry-optimized Be3BO structure (PBE).

Computed properties:
E: -4.391 eV per atom
distance to the lowest polymorph of the same formula: 391 meV per atom
formation energy without anion corrections: 0.1722 eV/atom

abc: 3.573 3.573 3.573
angles: 90.00 90.00 90.00
Space group Pm-3m (No. 221)
Symmetry-distinct sites (fractional):
1 Be 0.000 0.000 0.500 x3
2 B 0.000 0.000 0.000 x1
3 O 0.500 0.500 0.500 x1

=====

Entry 9:
Entry from Alexandria via LeMat-Bulk: a geometry-optimized CaY2Co structure (PBE).

Computed properties:
E: -5.425 eV per atom
distance to the lowest polymorph of the same formula: 180 meV per atom

abc: 3.530 5.277 11.346
angles: 90.00 90.00 90.00
Space group Imm2 (No. 44)
Symmetry-distinct sites (fractional):
1 Ca 0.000 0.000 0.000 x2
2 Y 0.000 0.000 0.375 x2
3 Y 0.000 0.500 0.190 x2
4 Co 0.000 0.500 0.703 x2

=====

Entry 10:
Entry from Alexandria via LeMat-Bulk: a geometry-optimized Ac3TlGa structure (PBE).

Computed properties:
E: -3.836 eV per atom
distance to the lowest polymorph of the same formula: 25 meV per atom

abc: 10.373 8.413 9.220
angles: 90.00 112.90 90.00
Space group P2_1/c (No. 14)
Symmetry-distinct sites (fractional):
1 Ac 0.060 0.007 0.213 x4
2 Ac 0.301 0.182 0.605 x4
3 Ac 0.354 0.671 0.481 x4
4 Tl 0.093 0.659 0.056 x4
5 Ga 0.416 0.025 0.343 x4

=====

Entry 11:
Entry from Alexandria via LeMat-Bulk: a geometry-optimized DyTlB2O6 structure (PBE).

Computed properties:
E: -7.310 eV per atom
formation energy without anion corrections: -2.3030 eV/atom

abc: 7.869 10.081 6.567
angles: 90.00 106.18 90.00
Space group C2/c (No. 15)
Symmetry-distinct sites (fractional):
1 Dy 0.000 0.082 0.250 x4
2 Tl 0.000 0.412 0.750 x4
3 B 0.245 0.162 0.749 x8
4 O 0.110 0.096 0.607 x8
5 O 0.120 0.411 0.116 x8
6 O 0.247 0.200 0.241 x8

=====

Entry 12:
Entry from Alexandria via LeMat-Bulk: a geometry-optimized MnAlVCo structure (PBE).

Computed properties:
E: -7.670 eV per atom
distance to the lowest polymorph of the same formula: 0 meV per atom

abc: 5.737 5.737 5.737
angles: 90.00 90.00 90.00
Space group F-43m (No. 216)
Symmetry-distinct sites (fractional):
1 Mn 0.000 0.000 0.000 x4
2 Al 0.250 0.250 0.750 x4
3 V 0.250 0.250 0.250 x4
4 Co 0.000 0.000 0.500 x4